The following is a PBE-GGA calculation of crystalline LaZnBr2 at its relaxed geometry, from Alexandria via LeMat-Bulk. Values from VASP.

Structure (Quantum ESPRESSO input):
```
&SYSTEM
  ibrav = 0, nat = 4, ntyp = 3
/
ATOMIC_SPECIES
La 138.91 La.upf
Zn 65.41 Zn.upf
Br 79.90 Br.upf
CELL_PARAMETERS angstrom
4.4290 0.0000 0.0000
0.0000 4.4753 0.0000
0.0000 0.0000 5.2963
ATOMIC_POSITIONS crystal
La 0.0000 0.0000 0.0000
Zn 0.5000 0.0000 0.5000
Br 0.0000 0.5000 0.5000
Br 0.5000 0.5000 0.0000
```

Calculated values
**Raw total energy**: -3.3337 eV/atom
**Formation energy (no corrections)**: -0.9469 eV/atom
**E above lowest polymorph**: 0.152 eV/atom
**Total magnetization**: 0.02 μB/f.u.


The following is a PBE-GGA calculation of crystalline LiPaSnHg at its relaxed geometry, from Alexandria via LeMat-Bulk. Values from VASP.

Structure (Quantum ESPRESSO input):
```
&SYSTEM
  ibrav = 0, nat = 4, ntyp = 4
/
ATOMIC_SPECIES
Li 6.94 Li.upf
Pa 231.04 Pa.upf
Sn 118.71 Sn.upf
Hg 200.59 Hg.upf
CELL_PARAMETERS angstrom
0.0000 3.6318 3.6318
3.6318 0.0000 3.6318
3.6318 3.6318 0.0000
ATOMIC_POSITIONS crystal
Li 0.0000 0.0000 0.0000
Pa 0.5000 0.5000 0.5000
Sn 0.7500 0.7500 0.7500
Hg 0.2500 0.2500 0.2500
```

Calculated values
**Raw total energy**: -4.0466 eV/atom
**Formation energy from the elements**: -118 meV per atom
**Total magnetization**: 1.40 μB/f.u.


The following is a PBE-GGA calculation of crystalline Cs2BaIrI6 at its relaxed geometry, from Alexandria via LeMat-Bulk. Values from VASP.

Structure (Quantum ESPRESSO input):
```
&SYSTEM
  ibrav = 0, nat = 10, ntyp = 4
/
ATOMIC_SPECIES
Cs 132.91 Cs.upf
Ba 137.33 Ba.upf
Ir 192.22 Ir.upf
I 126.90 I.upf
CELL_PARAMETERS angstrom
-4.3492 4.3492 6.1228
4.3492 -4.3492 6.1228
4.3492 4.3492 -6.1228
ATOMIC_POSITIONS crystal
Cs 0.2500 0.7500 0.5000
Cs 0.7500 0.2500 0.5000
Ba 0.0000 0.0000 0.0000
Ir 0.5000 0.5000 0.0000
I 0.2753 0.2753 0.0000
I 0.2746 0.2746 0.5492
I 0.2746 0.7254 0.0000
I 0.7254 0.2746 0.0000
I 0.7247 0.7247 0.0000
I 0.7254 0.7254 0.4508
```

Calculated values
**Raw total energy**: -3.1505 eV/atom
**Formation energy (no corrections)**: -0.9713 eV/atom
**Total magnetization**: 1.00 μB/f.u.


The following is a PBE-GGA calculation of crystalline Mn2MoAu at its relaxed geometry, from Alexandria via LeMat-Bulk. Values from VASP.

Structure (Quantum ESPRESSO input):
```
&SYSTEM
  ibrav = 0, nat = 4, ntyp = 3
/
ATOMIC_SPECIES
Mn 54.94 Mn.upf
Mo 95.94 Mo.upf
Au 196.97 Au.upf
CELL_PARAMETERS angstrom
1.4375 0.8300 8.6041
-1.4375 0.8300 8.6041
0.0000 -1.6599 8.6041
ATOMIC_POSITIONS crystal
Mn 0.2458 0.2458 0.2458
Mn 0.7542 0.7542 0.7542
Mo 0.5000 0.5000 0.5000
Au 0.0000 0.0000 0.0000
```

Calculated values
**Raw total energy**: -7.8250 eV/atom
**Formation energy from the elements**: 287 meV per atom
**E above lowest polymorph**: 0.167 eV/atom
**Total magnetization**: 5.58 μB/f.u.


The following is a PBE-GGA calculation of crystalline KNpPS6 at its relaxed geometry, from Alexandria via LeMat-Bulk. Values from VASP.

Structure (Quantum ESPRESSO input):
```
&SYSTEM
  ibrav = 0, nat = 9, ntyp = 4
/
ATOMIC_SPECIES
K 39.10 K.upf
Np 237.00 Np.upf
P 30.97 P.upf
S 32.06 S.upf
CELL_PARAMETERS angstrom
6.3279 0.0000 0.0000
-3.1639 5.4801 0.0000
0.0000 0.0000 7.2278
ATOMIC_POSITIONS crystal
K 0.0000 0.0000 0.0000
Np 0.3333 0.6667 0.5000
P 0.6667 0.3333 0.5000
S 0.3869 0.0295 0.6866
S 0.3869 0.3574 0.3134
S 0.6426 0.0295 0.3134
S 0.6426 0.6131 0.6866
S 0.9705 0.3574 0.6866
S 0.9705 0.6131 0.3134
```

Calculated values
**Raw total energy**: -5.4083 eV/atom
**Formation energy (no corrections)**: -0.4958 eV/atom
**Total magnetization**: 1.04 μB/f.u.


The following is a PBE-GGA calculation of crystalline NpIn2GaI6 at its relaxed geometry, from Alexandria via LeMat-Bulk. Values from VASP.

Structure (Quantum ESPRESSO input):
```
&SYSTEM
  ibrav = 0, nat = 10, ntyp = 4
/
ATOMIC_SPECIES
Np 237.00 Np.upf
In 114.82 In.upf
Ga 69.72 Ga.upf
I 126.90 I.upf
CELL_PARAMETERS angstrom
4.2443 2.4505 7.4110
-4.2443 2.4505 7.4110
0.0000 -4.9009 7.4110
ATOMIC_POSITIONS crystal
Np 0.0000 0.0000 0.0000
In 0.3090 0.3090 0.3090
In 0.8028 0.8028 0.8028
Ga 0.5049 0.5049 0.5049
I 0.1346 0.3491 0.7486
I 0.2173 0.8794 0.6403
I 0.3491 0.7486 0.1346
I 0.6403 0.2173 0.8794
I 0.7486 0.1346 0.3491
I 0.8794 0.6403 0.2173
```

Calculated values
**Raw total energy**: -3.6625 eV/atom
**Formation energy (no corrections)**: -0.5879 eV/atom
**Total magnetization**: 4.00 μB/f.u.


The following is a PBE-GGA calculation of crystalline Ca2MgCu4 at its relaxed geometry, from Alexandria via LeMat-Bulk. Values from VASP.

Structure (Quantum ESPRESSO input):
```
&SYSTEM
  ibrav = 0, nat = 7, ntyp = 3
/
ATOMIC_SPECIES
Ca 40.08 Ca.upf
Mg 24.30 Mg.upf
Cu 63.55 Cu.upf
CELL_PARAMETERS angstrom
-2.7868 2.7868 5.2372
2.7868 -2.7868 5.2372
2.7868 2.7868 -5.2372
ATOMIC_POSITIONS crystal
Ca 0.2500 0.7500 0.5000
Ca 0.7500 0.2500 0.5000
Mg 0.0000 0.0000 0.0000
Cu 0.2071 0.5000 0.7071
Cu 0.5000 0.2071 0.7071
Cu 0.5000 0.7929 0.2929
Cu 0.7929 0.5000 0.2929
```

Calculated values
**Raw total energy**: -3.0321 eV/atom
**Formation energy from the elements**: 108 meV per atom
**E above lowest polymorph**: 0.183 eV/atom
**Total magnetization**: 0.00 μB/f.u.


The following is a PBE-GGA calculation of crystalline Pm2ReSi5 at its relaxed geometry, from Alexandria via LeMat-Bulk. Values from VASP.

Structure (Quantum ESPRESSO input):
```
&SYSTEM
  ibrav = 0, nat = 8, ntyp = 3
/
ATOMIC_SPECIES
Pm 145.00 Pm.upf
Re 186.21 Re.upf
Si 28.09 Si.upf
CELL_PARAMETERS angstrom
-2.9493 2.9493 4.4493
2.9493 -2.9493 4.4493
2.9493 2.9493 -4.4493
ATOMIC_POSITIONS crystal
Pm 0.0000 0.5000 0.5000
Pm 0.5000 0.0000 0.5000
Re 0.2170 0.2170 0.0000
Si 0.5380 0.5380 0.5843
Si 0.5380 0.9537 0.0000
Si 0.9507 0.9507 0.0000
Si 0.9537 0.5380 0.0000
Si 0.9537 0.9537 0.4157
```

Calculated values
**Raw total energy**: -6.5732 eV/atom
**Formation energy (no corrections)**: -0.4401 eV/atom
**Total magnetization**: 0.00 μB/f.u.


The following is a PBE-GGA calculation of crystalline LiTcPt at its relaxed geometry, from Alexandria via LeMat-Bulk. Values from VASP.

Structure (Quantum ESPRESSO input):
```
&SYSTEM
  ibrav = 0, nat = 3, ntyp = 3
/
ATOMIC_SPECIES
Li 6.94 Li.upf
Tc 98.00 Tc.upf
Pt 195.08 Pt.upf
CELL_PARAMETERS angstrom
-1.3414 1.9736 3.9682
1.3414 -1.9736 3.9682
1.3414 1.9736 -3.9682
ATOMIC_POSITIONS crystal
Li 0.0000 0.0000 0.0000
Tc 0.3260 0.3260 0.0000
Pt 0.6645 0.6645 0.0000
```

Calculated values
**Raw total energy**: -6.1635 eV/atom
**Formation energy from the elements**: -57 meV per atom
**E above lowest polymorph**: 0.183 eV/atom
**Total magnetization**: 0.00 μB/f.u.


The following is a PBE-GGA calculation of crystalline Ba2NaIn5 at its relaxed geometry, from Alexandria via LeMat-Bulk. Values from VASP.

Structure (Quantum ESPRESSO input):
```
&SYSTEM
  ibrav = 0, nat = 16, ntyp = 3
/
ATOMIC_SPECIES
Ba 137.33 Ba.upf
Na 22.99 Na.upf
In 114.82 In.upf
CELL_PARAMETERS angstrom
2.5150 -9.7653 0.0000
2.5150 9.7653 0.0000
0.0000 0.0000 10.8011
ATOMIC_POSITIONS crystal
Ba 0.0000 0.0000 0.0000
Ba 0.0000 0.0000 0.5000
Ba 0.2023 0.7977 0.7500
Ba 0.7977 0.2023 0.2500
Na 0.4474 0.5526 0.2500
Na 0.5526 0.4474 0.7500
In 0.1949 0.8051 0.1058
In 0.1949 0.8051 0.3942
In 0.3538 0.6462 0.0202
In 0.3538 0.6462 0.4798
In 0.3970 0.6030 0.7500
In 0.6030 0.3970 0.2500
In 0.6462 0.3538 0.5202
In 0.6462 0.3538 0.9798
In 0.8051 0.1949 0.6058
In 0.8051 0.1949 0.8942
```

Calculated values
**Raw total energy**: -2.6683 eV/atom
**Formation energy from the elements**: -311 meV per atom
**Total magnetization**: 0.43 μB/f.u.


The following is a PBE-GGA calculation of crystalline CsAcF14 at its relaxed geometry, from Alexandria via LeMat-Bulk. Values from VASP.

Structure (Quantum ESPRESSO input):
```
&SYSTEM
  ibrav = 0, nat = 32, ntyp = 3
/
ATOMIC_SPECIES
Cs 132.91 Cs.upf
Ac 227.00 Ac.upf
F 19.00 F.upf
CELL_PARAMETERS angstrom
-4.4004 6.1775 5.3525
4.4004 -6.1775 5.3525
4.4004 6.1775 -5.3525
ATOMIC_POSITIONS crystal
Cs 0.3755 0.1255 0.2500
Cs 0.6245 0.8745 0.7500
Ac 0.0000 0.0000 0.5000
Ac 0.0000 0.5000 0.0000
F 0.0040 0.8787 0.1253
F 0.0465 0.6896 0.3569
F 0.0782 0.1660 0.3571
F 0.0782 0.7212 0.9122
F 0.1673 0.3104 0.8569
F 0.2534 0.8787 0.3747
F 0.2536 0.4335 0.3227
F 0.2536 0.9309 0.8201
F 0.2648 0.5727 0.6922
F 0.3089 0.1660 0.5878
F 0.3089 0.7212 0.1429
F 0.3805 0.5727 0.8078
F 0.3892 0.0691 0.8227
F 0.3892 0.5665 0.3201
F 0.6108 0.4335 0.6799
F 0.6108 0.9309 0.1773
F 0.6195 0.4273 0.1922
F 0.6911 0.2788 0.8571
F 0.6911 0.8340 0.4122
F 0.7352 0.4273 0.3078
F 0.7464 0.0691 0.1799
F 0.7464 0.5665 0.6773
F 0.7466 0.1213 0.6253
F 0.8327 0.6896 0.1431
F 0.9218 0.2788 0.0878
F 0.9218 0.8340 0.6429
F 0.9535 0.3104 0.6431
F 0.9960 0.1213 0.8747
```

Calculated values
**Raw total energy**: -3.2115 eV/atom
**Formation energy (no corrections)**: -1.2640 eV/atom
**Total magnetization**: 4.02 μB/f.u.


The following is a PBE-GGA calculation of crystalline Rb4CdH6 at its relaxed geometry, from Alexandria via LeMat-Bulk. Values from VASP.

Structure (Quantum ESPRESSO input):
```
&SYSTEM
  ibrav = 0, nat = 22, ntyp = 3
/
ATOMIC_SPECIES
Rb 85.47 Rb.upf
Cd 112.41 Cd.upf
H 1.01 H.upf
CELL_PARAMETERS angstrom
6.9352 -3.6489 0.0000
6.9352 3.6489 0.0000
-5.9353 0.0000 12.1823
ATOMIC_POSITIONS crystal
Rb 0.0919 0.3462 0.8202
Rb 0.1271 0.8729 0.5000
Rb 0.1858 0.5998 0.1612
Rb 0.3462 0.0919 0.3202
Rb 0.5317 0.7891 0.0092
Rb 0.5998 0.1858 0.6612
Rb 0.7891 0.5317 0.5092
Rb 0.8729 0.1271 0.0000
Cd 0.1690 0.7096 0.7505
Cd 0.7096 0.1690 0.2505
H 0.1663 0.5828 0.6018
H 0.2555 0.8617 0.1147
H 0.2583 0.9053 0.7978
H 0.3666 0.4914 0.8277
H 0.4409 0.9328 0.4950
H 0.4914 0.3666 0.3277
H 0.5828 0.1663 0.1018
H 0.8226 0.9036 0.2755
H 0.8617 0.2555 0.6147
H 0.9036 0.8226 0.7755
H 0.9053 0.2583 0.2978
H 0.9328 0.4409 0.9950
```

Calculated values
**Raw total energy**: -2.3928 eV/atom
**Total magnetization**: 0.00 μB/f.u.